(w)
Density functional theory data (PBE) for AcNd2Pu after structural relaxation.

POSCAR file:
```
AcNd2Pu
1.0
5.181 0.000 0.000
0.000 5.181 0.000
0.000 0.000 5.257
Ac Nd Pu
1 2 1
Cartesian
0.000 0.000 0.000
0.000 2.590 2.629
2.590 0.000 2.629
2.590 2.590 0.000
```

Computed properties:
As for the magnetic moment: 6.57 μB per cell.


(x)
Density functional theory data (PBE) for AcNd2Pu after structural relaxation.

POSCAR file:
```
AcNd2Pu
1.0
3.718 0.000 0.000
0.000 3.718 0.000
0.000 0.000 10.307
Ac Nd Pu
1 2 1
Cartesian
0.000 0.000 0.000
1.859 1.859 2.795
1.859 1.859 7.513
0.000 0.000 5.154
```

Computed properties:
As for the magnetic moment: 6.51 μB per cell.


Pick the least stable structure from those above. Pick: (w)